1.
# ZnCuSi

Crystalline ZnCuSi at its relaxed geometry (GGA-PBE, Alexandria).

The density is 6.3 g/cm3. The value obtained for the total magnetic moment is 0.00 μB per atom. The uncorrected formation energy is 0.151 eV/atom. The uncorrected energy comes out at -10.34 eV/cell. The energy above the most stable polymorph in this dataset comes out at 98 meV per atom. As for the space group: No. 107.

Lattice parameters (Å, degrees): 5.876 5.876 2.742 76.51 76.51 26.98
Positions (direct):
Si (0.344, 0.344, 0.656)
Cu (0.997, 0.997, 0.003)
Zn (0.659, 0.659, 0.341)


2.
# ZnCu5Si

Crystalline ZnCu5Si at its relaxed geometry (GGA-PBE, Alexandria).

The density is 7.6 g/cm3. The value obtained for the total magnetic moment is 0.00 μB per atom. The uncorrected formation energy is -0.026 eV/atom. The uncorrected energy comes out at -54.72 eV/cell. As for the space group: No. 63.

Lattice parameters (Å, degrees): 4.348 4.348 9.611 89.99 89.99 80.25
Positions (direct):
Cu (0.846, 0.557, 0.610)
Cu (0.846, 0.557, 0.890)
Cu (0.557, 0.846, 0.110)
Cu (0.557, 0.846, 0.390)
Cu (0.154, 0.443, 0.390)
Cu (0.443, 0.154, 0.610)
Cu (0.443, 0.154, 0.890)
Cu (0.929, 0.071, 0.750)
Cu (0.071, 0.929, 0.250)
Cu (0.154, 0.443, 0.110)
Si (0.000, 0.000, 0.500)
Si (0.000, 0.000, 0.000)
Zn (0.355, 0.645, 0.750)
Zn (0.645, 0.355, 0.250)


3.
# ZnCuSi2

Crystalline ZnCuSi2 at its relaxed geometry (GGA-PBE, Alexandria).

The density is 5.3 g/cm3. The value obtained for the total magnetic moment is 0.00 μB per atom. The uncorrected formation energy is 0.181 eV/atom. The uncorrected energy comes out at -15.49 eV/cell. As for the space group: No. 6.

Lattice parameters (Å, degrees): 3.170 2.548 7.260 79.82 90.00 90.00
Positions (direct):
Si (0.500, 0.061, 0.252)
Si (0.000, 0.200, 0.973)
Zn (0.000, 0.431, 0.515)
Cu (0.500, 0.809, 0.760)


4.
# Zn2Cu8Si

Crystalline Zn2Cu8Si at its relaxed geometry (GGA-PBE, Alexandria).

The density is 8.2 g/cm3. The value obtained for the total magnetic moment is 0.00 μB per atom. The uncorrected formation energy is -0.069 eV/atom. The uncorrected energy comes out at -41.50 eV/cell. The energy above the most stable polymorph in this dataset comes out at 0 meV per atom. As for the space group: No. 12.

Lattice parameters (Å, degrees): 3.712 5.817 6.810 105.54 105.82 90.00
Positions (direct):
Cu (0.136, 0.176, 0.271)
Cu (0.589, 0.442, 0.178)
Cu (0.322, 0.088, 0.644)
Cu (0.678, 0.912, 0.356)
Cu (0.957, 0.273, 0.914)
Cu (0.864, 0.824, 0.729)
Cu (0.411, 0.558, 0.822)
Cu (0.043, 0.727, 0.086)
Zn (0.778, 0.359, 0.557)
Zn (0.222, 0.641, 0.443)
Si (0.500, 0.000, 0.000)


5.
# Zn4CuSi

Crystalline Zn4CuSi at its relaxed geometry (GGA-PBE, Alexandria).

The density is 6.4 g/cm3. The value obtained for the total magnetic moment is 0.00 μB per atom. The uncorrected formation energy is 0.245 eV/atom. The uncorrected energy comes out at -13.14 eV/cell. As for the space group: No. 216.

Lattice parameters (Å, degrees): 5.055 5.055 5.055 60.00 60.00 60.00
Positions (direct):
Zn (0.375, 0.375, 0.874)
Zn (0.375, 0.874, 0.375)
Zn (0.375, 0.375, 0.375)
Zn (0.874, 0.375, 0.375)
Si (0.000, 0.000, 0.000)
Cu (0.750, 0.750, 0.750)


6.
# ZnCuSi3

Crystalline ZnCuSi3 at its relaxed geometry (GGA-PBE, Alexandria).

The density is 3.8 g/cm3. The value obtained for the total magnetic moment is 0.00 μB per atom. The uncorrected formation energy is 0.776 eV/atom. The uncorrected energy comes out at -17.76 eV/cell. The energy above the most stable polymorph in this dataset comes out at 0 meV per atom. As for the space group: No. 221.

Lattice parameters (Å, degrees): 4.539 4.539 4.539 90.00 90.00 90.00
Positions (direct):
Zn (0.500, 0.500, 0.500)
Si (0.000, 0.000, 0.500)
Si (0.000, 0.500, 0.000)
Si (0.500, 0.000, 0.000)
Cu (0.000, 0.000, 0.000)


7.
# ZnCuSi2

Crystalline ZnCuSi2 at its relaxed geometry (GGA-PBE, Alexandria).

The density is 5.3 g/cm3. The value obtained for the total magnetic moment is 0.00 μB per atom. The uncorrected formation energy is 0.396 eV/atom. The uncorrected energy comes out at -14.63 eV/cell. As for the space group: No. 216.

Lattice parameters (Å, degrees): 4.349 4.349 4.349 60.00 60.00 60.00
Positions (direct):
Si (0.750, 0.750, 0.750)
Si (0.000, 0.000, 0.000)
Cu (0.500, 0.500, 0.500)
Zn (0.250, 0.250, 0.250)


8.
# ZnCuSi2

Crystalline ZnCuSi2 at its relaxed geometry (GGA-PBE, Alexandria).

The density is 5.5 g/cm3. The value obtained for the total magnetic moment is 0.00 μB per atom. The uncorrected formation energy is 0.223 eV/atom. The uncorrected energy comes out at -15.33 eV/cell. As for the space group: No. 12.

Lattice parameters (Å, degrees): 4.719 4.719 4.704 78.27 78.27 33.08
Positions (direct):
Cu (0.750, 0.750, 0.750)
Zn (0.250, 0.250, 0.250)
Si (0.012, 0.012, 0.988)
Si (0.488, 0.488, 0.512)


9.
# ZnCuSi2

Crystalline ZnCuSi2 at its relaxed geometry (GGA-PBE, Alexandria).

The density is 5.4 g/cm3. The value obtained for the total magnetic moment is 0.00 μB per atom. The uncorrected formation energy is 0.276 eV/atom. The uncorrected energy comes out at -15.11 eV/cell. As for the space group: No. 123.

Lattice parameters (Å, degrees): 2.779 2.779 7.425 90.00 90.00 90.00
Positions (direct):
Zn (0.500, 0.500, 0.250)
Si (0.000, 0.000, 0.978)
Si (0.000, 0.000, 0.522)
Cu (0.500, 0.500, 0.750)


10.
# Zn2Cu8Si

Crystalline Zn2Cu8Si at its relaxed geometry (GGA-PBE, Alexandria).

The density is 7.7 g/cm3. The value obtained for the total magnetic moment is 0.00 μB per atom. The uncorrected formation energy is 0.062 eV/atom. The uncorrected energy comes out at -40.06 eV/cell. The energy above the most stable polymorph in this dataset comes out at 131 meV per atom. As for the space group: No. 12.

Lattice parameters (Å, degrees): 4.252 6.469 6.694 61.11 77.44 63.24
Positions (direct):
Si (0.500, 0.000, 0.000)
Cu (0.856, 0.103, 0.220)
Cu (0.692, 0.601, 0.000)
Cu (0.500, 0.800, 0.401)
Cu (0.308, 0.399, 0.000)
Cu (0.500, 0.200, 0.599)
Cu (0.856, 0.322, 0.780)
Cu (0.144, 0.897, 0.780)
Cu (0.144, 0.678, 0.220)
Zn (0.000, 0.697, 0.605)
Zn (0.000, 0.303, 0.395)


11.
# ZnCuSi2

Crystalline ZnCuSi2 at its relaxed geometry (GGA-PBE, Alexandria).

The density is 5.5 g/cm3. The value obtained for the total magnetic moment is 0.00 μB per atom. The uncorrected formation energy is 0.210 eV/atom. The uncorrected energy comes out at -15.37 eV/cell. As for the space group: No. 99.

Lattice parameters (Å, degrees): 2.747 2.747 7.341 90.00 90.00 90.00
Positions (direct):
Si (0.500, 0.500, 0.249)
Si (0.000, 0.000, 0.980)
Zn (0.000, 0.000, 0.513)
Cu (0.500, 0.500, 0.758)


12.
# Zn4Cu15Si

Crystalline Zn4Cu15Si at its relaxed geometry (GGA-PBE, Alexandria).

The density is 8.4 g/cm3. The value obtained for the total magnetic moment is 0.00 μB per atom. The uncorrected formation energy is -0.071 eV/atom. The uncorrected energy comes out at -73.39 eV/cell. As for the space group: No. 123.

Lattice parameters (Å, degrees): 3.669 3.669 18.336 90.00 90.00 90.00
Positions (direct):
Cu (0.500, 0.500, 0.803)
Cu (0.500, 0.500, 0.000)
Cu (0.500, 0.500, 0.601)
Cu (0.500, 0.000, 0.299)
Cu (0.000, 0.500, 0.096)
Cu (0.500, 0.500, 0.197)
Cu (0.000, 0.500, 0.701)
Cu (0.500, 0.000, 0.096)
Cu (0.500, 0.000, 0.500)
Cu (0.500, 0.000, 0.904)
Cu (0.500, 0.500, 0.399)
Cu (0.000, 0.500, 0.904)
Cu (0.000, 0.500, 0.500)
Cu (0.500, 0.000, 0.701)
Cu (0.000, 0.500, 0.299)
Zn (0.000, 0.000, 0.802)
Zn (0.000, 0.000, 0.198)
Zn (0.000, 0.000, 0.400)
Zn (0.000, 0.000, 0.600)
Si (0.000, 0.000, 0.000)


13.
# Zn3CuSi

Crystalline Zn3CuSi at its relaxed geometry (GGA-PBE, Alexandria).

The density is 5.1 g/cm3. The value obtained for the total magnetic moment is 0.00 μB per atom. The uncorrected formation energy is 0.551 eV/atom. The uncorrected energy comes out at -10.59 eV/cell. The energy above the most stable polymorph in this dataset comes out at 0 meV per atom. As for the space group: No. 221.

Lattice parameters (Å, degrees): 4.553 4.553 4.553 90.00 90.00 90.00
Positions (direct):
Cu (0.000, 0.000, 0.000)
Zn (0.000, 0.000, 0.500)
Zn (0.500, 0.000, 0.000)
Zn (0.000, 0.500, 0.000)
Si (0.500, 0.500, 0.500)


14.
# ZnCuSi2

Crystalline ZnCuSi2 at its relaxed geometry (GGA-PBE, Alexandria).

The density is 5.4 g/cm3. The value obtained for the total magnetic moment is 0.00 μB per atom. The uncorrected formation energy is 0.262 eV/atom. The uncorrected energy comes out at -15.17 eV/cell. As for the space group: No. 8.

Lattice parameters (Å, degrees): 4.508 4.508 4.898 77.56 77.56 35.79
Positions (direct):
Si (0.251, 0.251, 0.241)
Si (0.008, 0.008, 0.993)
Zn (0.493, 0.493, 0.511)
Cu (0.747, 0.747, 0.756)


15.
# Zn3Cu12Si

Crystalline Zn3Cu12Si at its relaxed geometry (GGA-PBE, Alexandria).

The density is 8.3 g/cm3. The value obtained for the total magnetic moment is 0.00 μB per atom. The uncorrected formation energy is -0.063 eV/atom. The uncorrected energy comes out at -59.40 eV/cell. As for the space group: No. 123.

Lattice parameters (Å, degrees): 3.630 3.630 14.978 90.00 90.00 90.00
Positions (direct):
Zn (0.000, 0.000, 0.248)
Zn (0.000, 0.000, 0.500)
Zn (0.000, 0.000, 0.752)
Cu (0.500, 0.500, 0.247)
Cu (0.000, 0.500, 0.626)
Cu (0.500, 0.000, 0.374)
Cu (0.500, 0.000, 0.121)
Cu (0.000, 0.500, 0.121)
Cu (0.500, 0.000, 0.879)
Cu (0.500, 0.500, 0.753)
Cu (0.500, 0.000, 0.626)
Cu (0.500, 0.500, 0.000)
Cu (0.500, 0.500, 0.500)
Cu (0.000, 0.500, 0.879)
Cu (0.000, 0.500, 0.374)
Si (0.000, 0.000, 0.000)


16.
# ZnCuSi

Crystalline ZnCuSi at its relaxed geometry (GGA-PBE, Alexandria).

The density is 5.8 g/cm3. The value obtained for the total magnetic moment is 0.00 μB per atom. The uncorrected formation energy is 0.054 eV/atom. The uncorrected energy comes out at -10.63 eV/cell. The energy above the most stable polymorph in this dataset comes out at 0 meV per atom. As for the space group: No. 216.

Lattice parameters (Å, degrees): 4.002 4.002 4.002 60.00 60.00 60.00
Positions (direct):
Zn (0.500, 0.500, 0.500)
Cu (0.750, 0.750, 0.750)
Si (0.000, 0.000, 0.000)


17.
# ZnCuSi2

Crystalline ZnCuSi2 at its relaxed geometry (GGA-PBE, Alexandria).

The density is 5.4 g/cm3. The value obtained for the total magnetic moment is 0.00 μB per atom. The uncorrected formation energy is 0.173 eV/atom. The uncorrected energy comes out at -15.52 eV/cell. As for the space group: No. 166.

Lattice parameters (Å, degrees): 9.535 9.535 9.535 15.95 15.95 15.95
Positions (direct):
Si (0.491, 0.491, 0.491)
Si (0.009, 0.009, 0.009)
Zn (0.250, 0.250, 0.250)
Cu (0.750, 0.750, 0.750)


18.
# ZnCuSi2

Crystalline ZnCuSi2 at its relaxed geometry (GGA-PBE, Alexandria).

The density is 5.4 g/cm3. The value obtained for the total magnetic moment is 0.00 μB per atom. The uncorrected formation energy is 0.284 eV/atom. The uncorrected energy comes out at -15.08 eV/cell. As for the space group: No. 119.

Lattice parameters (Å, degrees): 4.787 4.787 4.787 133.57 133.57 67.77
Positions (direct):
Si (0.250, 0.750, 0.500)
Si (0.000, 0.000, 0.000)
Zn (0.500, 0.500, 0.000)
Cu (0.750, 0.250, 0.500)


19.
# Zn2CuSi2

Crystalline Zn2CuSi2 at its relaxed geometry (GGA-PBE, Alexandria).

The density is 5.4 g/cm3. The value obtained for the total magnetic moment is 0.00 μB per atom. The uncorrected formation energy is 0.217 eV/atom. The uncorrected energy comes out at -32.81 eV/cell. As for the space group: No. 127.

Lattice parameters (Å, degrees): 6.114 6.114 4.154 90.00 90.00 90.00
Positions (direct):
Si (0.862, 0.638, 0.000)
Si (0.638, 0.138, 0.000)
Si (0.138, 0.362, 0.000)
Si (0.362, 0.862, 0.000)
Zn (0.317, 0.183, 0.500)
Zn (0.183, 0.683, 0.500)
Zn (0.817, 0.317, 0.500)
Zn (0.683, 0.817, 0.500)
Cu (0.000, 0.000, 0.000)
Cu (0.500, 0.500, 0.000)


20.
# ZnCuSi2

Crystalline ZnCuSi2 at its relaxed geometry (GGA-PBE, Alexandria).

The density is 4.7 g/cm3. The value obtained for the total magnetic moment is 0.00 μB per atom. The uncorrected formation energy is 0.340 eV/atom. The uncorrected energy comes out at -29.71 eV/cell. As for the space group: No. 122.

Lattice parameters (Å, degrees): 7.442 7.442 5.760 49.76 49.76 90.00
Positions (direct):
Cu (0.250, 0.750, 0.500)
Cu (0.500, 0.500, 0.000)
Si (0.875, 0.808, 0.750)
Si (0.192, 0.625, 0.250)
Si (0.375, 0.442, 0.750)
Si (0.558, 0.125, 0.250)
Zn (0.000, 0.000, 0.000)
Zn (0.750, 0.250, 0.500)